(1)
Material: ScBi2BRh
Method: DFT, PBEsol
State: relaxed

It has space group P4/mmm (No. 123), with a = 5.458 Å, b = 5.458 Å, c = 4.531 Å, α = 90.00°, β = 90.00° and γ = 90.00°. The distinct sites, in fractional coordinates, are Sc at (0.000, 0.000, 0.000), Bi at (0.000, 0.500, 0.000), B at (0.500, 0.500, 0.500) and Rh at (0.000, 0.000, 0.500).

As for the total energy: -4.645 eV/atom.

(2)
Material: ScAl3F
Method: DFT, PBEsol
State: relaxed

It has space group Pm-3m (No. 221), with a = 5.384 Å, b = 5.384 Å, c = 5.384 Å, α = 90.00°, β = 90.00° and γ = 90.00°. The distinct sites, in fractional coordinates, are Sc at (0.000, 0.000, 0.000), Al at (0.000, 0.000, 0.500) and F at (0.500, 0.500, 0.500).

As for the total energy: -3.325 eV/atom. The value obtained for the uncorrected formation energy is 836 meV per atom.

(3)
Material: CdAgIO2
Method: DFT, PBEsol
State: relaxed

It has space group P4/mmm (No. 123), with a = 4.089 Å, b = 4.089 Å, c = 6.526 Å, α = 90.00°, β = 90.00° and γ = 90.00°. The distinct sites, in fractional coordinates, are Cd at (0.000, 0.000, 0.000), Ag at (0.500, 0.500, 0.500), I at (0.000, 0.000, 0.500) and O at (0.000, 0.500, 0.000).

As for the total energy: -3.145 eV/atom. The value obtained for the uncorrected formation energy is 210 meV per atom.

(4)
Material: In2CoSb
Method: DFT, PBEsol
State: relaxed

It has space group P4/mmm (No. 123), with a = 3.077 Å, b = 3.077 Å, c = 8.453 Å, α = 90.00°, β = 90.00° and γ = 90.00°. The distinct sites, in fractional coordinates, are In at (0.000, 0.000, 0.185), Co at (0.500, 0.500, 0.000) and Sb at (0.500, 0.500, 0.500).

As for the total energy: -4.399 eV/atom. The value obtained for the uncorrected formation energy is 166 meV per atom.

(5)
Material: HfTcO2
Method: DFT, PBEsol
State: relaxed

It has space group Fm-3m (No. 225), with a = 5.542 Å, b = 5.542 Å, c = 5.542 Å, α = 90.00°, β = 90.00° and γ = 90.00°. The distinct sites, in fractional coordinates, are Hf at (0.000, 0.000, 0.000), Tc at (0.000, 0.000, 0.500) and O at (0.250, 0.250, 0.250).

As for the total energy: -9.067 eV/atom. Its polymorph energy (0 for the lowest one) is 723 meV per atom. The value obtained for the uncorrected formation energy is -1000 meV per atom.

(6)
Material: TiBe2Pd2
Method: DFT, PBEsol
State: relaxed

It has space group P4/mbm (No. 127), with a = 6.725 Å, b = 6.725 Å, c = 2.680 Å, α = 90.00°, β = 90.00° and γ = 90.00°. The distinct sites, in fractional coordinates, are Ti at (0.000, 0.000, 0.000), Be at (0.117, 0.383, 0.000) and Pd at (0.176, 0.676, 0.500).

As for the total energy: -6.144 eV/atom.

(7)
Material: SrY2RuC
Method: DFT, PBEsol
State: relaxed

It has space group P4/mmm (No. 123), with a = 5.388 Å, b = 5.388 Å, c = 4.510 Å, α = 90.00°, β = 90.00° and γ = 90.00°. The distinct sites, in fractional coordinates, are Sr at (0.000, 0.000, 0.000), Y at (0.000, 0.500, 0.000), Ru at (0.000, 0.000, 0.500) and C at (0.500, 0.500, 0.500).

As for the total energy: -4.399 eV/atom.

(8)
Material: Zr2CdAu
Method: DFT, PBEsol
State: relaxed

It has space group P4mm (No. 99), with a = 3.484 Å, b = 3.484 Å, c = 6.598 Å, α = 90.00°, β = 90.00° and γ = 90.00°. The distinct sites, in fractional coordinates, are Zr at (0.000, 0.000, 0.000), Zr at (0.500, 0.500, 0.282), Cd at (0.500, 0.500, 0.746) and Au at (0.000, 0.000, 0.511).

As for the total energy: -6.150 eV/atom.

(9)
Material: TlCuBr2
Method: DFT, PBEsol
State: relaxed

It has space group Fm-3m (No. 225), with a = 7.251 Å, b = 7.251 Å, c = 7.251 Å, α = 90.00°, β = 90.00° and γ = 90.00°. The distinct sites, in fractional coordinates, are Tl at (0.000, 0.000, 0.000), Cu at (0.000, 0.000, 0.500) and Br at (0.250, 0.250, 0.250).

As for the total energy: -2.747 eV/atom. Its polymorph energy (0 for the lowest one) is 402 meV per atom. The value obtained for the uncorrected formation energy is -71 meV per atom.

(10)
Material: TcIr3
Method: DFT, PBEsol
State: relaxed

It has space group Cmmm (No. 65), with a = 5.406 Å, b = 7.665 Å, c = 2.699 Å, α = 90.00°, β = 90.00° and γ = 90.00°. The distinct sites, in fractional coordinates, are Tc at (0.000, 0.000, 0.000), Ir at (0.000, 0.500, 0.000) and Ir at (0.250, 0.250, 0.500).

As for the total energy: -10.306 eV/atom.

(11)
Material: TlRe3B
Method: DFT, PBEsol
State: relaxed

It has space group Pm-3m (No. 221), with a = 4.887 Å, b = 4.887 Å, c = 4.887 Å, α = 90.00°, β = 90.00° and γ = 90.00°. The distinct sites, in fractional coordinates, are Tl at (0.000, 0.000, 0.000), Re at (0.000, 0.000, 0.500) and B at (0.500, 0.500, 0.500).

As for the total energy: -5.477 eV/atom.

(12)
Material: Ba2LaPt
Method: DFT, PBEsol
State: relaxed

It has space group R3m (No. 160, hexagonal axes), with a = 4.3501 Å, b = 4.3501 Å, c = 31.5779 Å, α = 90.00°, β = 90.00° and γ = 120.00°. The distinct sites, in fractional coordinates, are Ba at (0.0000, 0.0000, 0.0000), Ba at (0.0000, 0.0000, 0.2125), La at (0.0000, 0.0000, 0.4362) and Pt at (0.0000, 0.0000, 0.7265).

As for the total energy: -4.601 eV/atom. Its polymorph energy (0 for the lowest one) is 2 meV per atom.